# Tb6Ce2Dy3Y, relaxed, DFT PBE
# energy	-4.94	eV/atom
# DFT formation energy	0.048	eV/atom
# DOS at the Fermi energy	43.7	states/eV per cell
data_Tb6Ce2Dy3Y
_symmetry_space_group_name_H-M 'C 1 2/m 1'
_symmetry_Int_Tables_number 12
_symmetry_space_group_name_Hall '-C 2y'
_cell_length_a 6.1477
_cell_length_b 10.6462
_cell_length_c 11.7698
_cell_angle_alpha 90.00
_cell_angle_beta 100.03
_cell_angle_gamma 90.00
loop_
_atom_site_label
_atom_site_type_symbol
_atom_site_fract_x
_atom_site_fract_y
_atom_site_fract_z
_atom_site_occupancy
Tb1 Tb 0.2478 0.0000 0.2498 1
Tb2 Tb 0.2482 0.1680 0.7505 1
Ce1 Ce 0.0000 0.1665 0.0000 1
Dy1 Dy 0.0000 0.0000 0.5000 1
Dy2 Dy 0.0000 0.3339 0.5000 1
Y1 Y 0.0000 0.5000 0.0000 1

# Dy2GeAu, relaxed, DFT PBE
# energy	-5.12	eV/atom
# DFT formation energy	-0.845	eV/atom
# DOS at the Fermi energy	6.8	states/eV per cell
data_Dy2GeAu
_symmetry_space_group_name_H-M 'P 1 21/m 1'
_symmetry_Int_Tables_number 11
_symmetry_space_group_name_Hall '-P 2yb'
_cell_length_a 5.8908
_cell_length_b 4.3357
_cell_length_c 8.0080
_cell_angle_alpha 90.00
_cell_angle_beta 110.54
_cell_angle_gamma 90.00
loop_
_atom_site_label
_atom_site_type_symbol
_atom_site_fract_x
_atom_site_fract_y
_atom_site_fract_z
_atom_site_occupancy
Dy1 Dy 0.2191 0.2500 0.4273 1
Dy2 Dy 0.2201 0.2500 0.9319 1
Ge1 Ge 0.3266 0.7500 0.7078 1
Au1 Au 0.3291 0.7500 0.2074 1

# HgMoIr2, relaxed, DFT PBE
# energy	-6.95	eV/atom
# DFT formation energy	0.261	eV/atom
# DOS at the Fermi energy	10.5	states/eV per cell
data_HgMoIr2
_symmetry_space_group_name_H-M 'R 3 m'
_symmetry_Int_Tables_number 160
_symmetry_space_group_name_Hall 'R 3 -2"'
_cell_length_a 2.8334
_cell_length_b 2.8334
_cell_length_c 28.0192
_cell_angle_alpha 90.00
_cell_angle_beta 90.00
_cell_angle_gamma 120.00
loop_
_atom_site_label
_atom_site_type_symbol
_atom_site_fract_x
_atom_site_fract_y
_atom_site_fract_z
_atom_site_occupancy
Hg1 Hg 0.0000 0.0000 0.0000 1
Mo1 Mo 0.0000 0.0000 0.7576 1
Ir1 Ir 0.0000 0.0000 0.2468 1
Ir2 Ir 0.0000 0.0000 0.4997 1

# SrLi2ZnIn4, relaxed, DFT PBE
# energy	-2.46	eV/atom
# DFT formation energy	-0.240	eV/atom
# DOS at the Fermi energy	5.8	states/eV per cell
data_SrLi2ZnIn4
_symmetry_space_group_name_H-M 'R -3 m'
_symmetry_Int_Tables_number 166
_symmetry_space_group_name_Hall '-R 3 2"'
_cell_length_a 4.7744
_cell_length_b 4.7744
_cell_length_c 29.7620
_cell_angle_alpha 90.00
_cell_angle_beta 90.00
_cell_angle_gamma 120.00
loop_
_atom_site_label
_atom_site_type_symbol
_atom_site_fract_x
_atom_site_fract_y
_atom_site_fract_z
_atom_site_occupancy
Sr1 Sr 0.0000 0.0000 0.0000 1
Li1 Li 0.0000 0.0000 0.2252 1
Zn1 Zn 0.0000 0.0000 0.5000 1
In1 In 0.0000 0.0000 0.1219 1
In2 In 0.0000 0.0000 0.4035 1

# HfAg3S, relaxed, DFT PBE
# energy	-3.77	eV/atom
# polymorph energy (0 for the lowest one)	0	meV per atom
# DOS at the Fermi energy	5.2	states/eV per cell
data_HfAg3S
_symmetry_space_group_name_H-M 'P m -3 m'
_symmetry_Int_Tables_number 221
_symmetry_space_group_name_Hall '-P 4 2 3'
_cell_length_a 4.7783
_cell_length_b 4.7783
_cell_length_c 4.7783
_cell_angle_alpha 90.00
_cell_angle_beta 90.00
_cell_angle_gamma 90.00
loop_
_atom_site_label
_atom_site_type_symbol
_atom_site_fract_x
_atom_site_fract_y
_atom_site_fract_z
_atom_site_occupancy
Hf1 Hf 0.0000 0.0000 0.0000 1
Ag1 Ag 0.0000 0.5000 0.5000 1
S1 S 0.5000 0.5000 0.5000 1

# SrSi3Tc, relaxed, DFT PBE
# energy	-3.13	eV/atom
# polymorph energy (0 for the lowest one)	2510	meV per atom
# DOS at the Fermi energy	8.9	states/eV per cell
data_SrSi3Tc
_symmetry_space_group_name_H-M 'P m -3 m'
_symmetry_Int_Tables_number 221
_symmetry_space_group_name_Hall '-P 4 2 3'
_cell_length_a 5.1274
_cell_length_b 5.1274
_cell_length_c 5.1274
_cell_angle_alpha 90.00
_cell_angle_beta 90.00
_cell_angle_gamma 90.00
loop_
_atom_site_label
_atom_site_type_symbol
_atom_site_fract_x
_atom_site_fract_y
_atom_site_fract_z
_atom_site_occupancy
Sr1 Sr 0.0000 0.0000 0.0000 1
Si1 Si 0.0000 0.0000 0.5000 1
Tc1 Tc 0.5000 0.5000 0.5000 1

# LaTb5Dy2, relaxed, DFT PBE
# energy	-4.64	eV/atom
# DFT formation energy	0.020	eV/atom
# DOS at the Fermi energy	42.8	states/eV per cell
data_LaTb5Dy2
_symmetry_space_group_name_H-M 'P b a m'
_symmetry_Int_Tables_number 55
_symmetry_space_group_name_Hall '-P 2 2ab'
_cell_length_a 7.1664
_cell_length_b 20.2205
_cell_length_c 7.1672
_cell_angle_alpha 90.00
_cell_angle_beta 90.00
_cell_angle_gamma 90.00
loop_
_atom_site_label
_atom_site_type_symbol
_atom_site_fract_x
_atom_site_fract_y
_atom_site_fract_z
_atom_site_occupancy
La1 La 0.2505 0.1248 0.0000 1
Tb1 Tb 0.0000 0.0000 0.2528 1
Tb2 Tb 0.0005 0.2500 0.2527 1
Tb3 Tb 0.2505 0.3752 0.0000 1
Tb4 Tb 0.2503 0.3751 0.5000 1
Dy1 Dy 0.0000 0.5000 0.2529 1
Dy2 Dy 0.2504 0.1249 0.5000 1

# Sc4CoOs2, relaxed, DFT PBE
# energy	-8.12	eV/atom
# DFT formation energy	-0.276	eV/atom
# DOS at the Fermi energy	22.4	states/eV per cell
data_Sc4CoOs2
_symmetry_space_group_name_H-M 'R -3 m'
_symmetry_Int_Tables_number 166
_symmetry_space_group_name_Hall '-R 3 2"'
_cell_length_a 4.5071
_cell_length_b 4.5071
_cell_length_c 21.9173
_cell_angle_alpha 90.00
_cell_angle_beta 90.00
_cell_angle_gamma 120.00
loop_
_atom_site_label
_atom_site_type_symbol
_atom_site_fract_x
_atom_site_fract_y
_atom_site_fract_z
_atom_site_occupancy
Sc1 Sc 0.0000 0.0000 0.1232 1
Sc2 Sc 0.0000 0.0000 0.3741 1
Co1 Co 0.0000 0.0000 0.5000 1
Os1 Os 0.0000 0.0000 0.2476 1

# Ca2Si2Au, relaxed, DFT PBE
# energy	-4.13	eV/atom
# polymorph energy (0 for the lowest one)	112	meV per atom
# DOS at the Fermi energy	13.3	states/eV per cell
data_Ca2Si2Au
_symmetry_space_group_name_H-M 'P 4/m b m'
_symmetry_Int_Tables_number 127
_symmetry_space_group_name_Hall '-P 4 2ab'
_cell_length_a 6.7947
_cell_length_b 6.7947
_cell_length_c 4.6183
_cell_angle_alpha 90.00
_cell_angle_beta 90.00
_cell_angle_gamma 90.00
loop_
_atom_site_label
_atom_site_type_symbol
_atom_site_fract_x
_atom_site_fract_y
_atom_site_fract_z
_atom_site_occupancy
Ca1 Ca 0.1705 0.3295 0.0000 1
Si1 Si 0.1302 0.6302 0.5000 1
Au1 Au 0.0000 0.0000 0.5000 1

# HfZr4Pa2, relaxed, DFT PBE
# energy	-8.93	eV/atom
# DFT formation energy	0.089	eV/atom
# DOS at the Fermi energy	23.0	states/eV per cell
data_HfZr4Pa2
_symmetry_space_group_name_H-M 'C 1 2/m 1'
_symmetry_Int_Tables_number 12
_symmetry_space_group_name_Hall '-C 2y'
_cell_length_a 10.5840
_cell_length_b 3.1431
_cell_length_c 10.0972
_cell_angle_alpha 90.00
_cell_angle_beta 98.96
_cell_angle_gamma 90.00
loop_
_atom_site_label
_atom_site_type_symbol
_atom_site_fract_x
_atom_site_fract_y
_atom_site_fract_z
_atom_site_occupancy
Hf1 Hf 0.0000 0.0000 0.0000 1
Zr1 Zr 0.1463 0.0000 0.5744 1
Zr2 Zr 0.2070 0.5000 0.8622 1
Pa1 Pa 0.0749 0.5000 0.2857 1

# Zn2InSi2, relaxed, DFT PBE
# energy	-3.04	eV/atom
# polymorph energy (0 for the lowest one)	0	meV per atom
# DOS at the Fermi energy	3.7	states/eV per cell
data_Zn2InSi2
_symmetry_space_group_name_H-M 'I 4/m m m'
_symmetry_Int_Tables_number 139
_symmetry_space_group_name_Hall '-I 4 2'
_cell_length_a 4.2583
_cell_length_b 4.2583
_cell_length_c 10.3922
_cell_angle_alpha 90.00
_cell_angle_beta 90.00
_cell_angle_gamma 90.00
loop_
_atom_site_label
_atom_site_type_symbol
_atom_site_fract_x
_atom_site_fract_y
_atom_site_fract_z
_atom_site_occupancy
Zn1 Zn 0.0000 0.5000 0.2500 1
In1 In 0.0000 0.0000 0.0000 1
Si1 Si 0.0000 0.0000 0.3869 1